# 1
Entry from Alexandria via LeMat-Bulk: an optimized crystal structure of Si3Mo4 (PBE).

The structure in POSCAR format:
```
Si3Mo4
1.0
-1.5946 1.5946 9.8865
1.5946 -1.5946 9.8865
1.5946 1.5946 -9.8865
Si Mo
3 4
Direct
0.0000 0.0000 0.0000
0.2854 0.2854 0.0000
0.7146 0.7146 0.0000
0.1515 0.1515 0.0000
0.4306 0.4306 0.0000
0.5694 0.5694 0.0000
0.8485 0.8485 0.0000
```

Summary:
Calculated volume (Å³/cell): 100.6
Energy relative to the lowest polymorph listed for this composition (meV/atom): 0
Density of states at the Fermi level (states/eV per atom): 0.854
Total energy (eV/atom): -8.80



# 2
Entry from Alexandria via LeMat-Bulk: an optimized crystal structure of SiMo (PBE).

The structure in POSCAR format:
```
SiMo
1.0
1.4611 0.8436 3.9733
-1.4611 0.8436 3.9733
0.0000 -1.6871 3.9733
Si Mo
1 1
Direct
0.0000 0.0000 0.0000
0.5000 0.5000 0.5000
```

Summary:
Calculated volume (Å³/cell): 29.4
Density of states at the Fermi level (states/eV per atom): 0.559
Total energy (eV/atom): -8.17



# 3
Entry from Alexandria via LeMat-Bulk: an optimized crystal structure of Si5Mo (PBE).

The structure in POSCAR format:
```
Si5Mo
1.0
4.7597 -1.5928 0.0000
4.7597 1.5928 0.0000
-2.4808 0.0000 5.7250
Si Mo
5 1
Direct
0.0000 0.0000 0.0000
0.0238 0.0238 0.6271
0.3576 0.3576 0.2976
0.6278 0.6278 0.3490
0.7325 0.7325 0.9585
0.3055 0.3055 0.6648
```

Summary:
Calculated volume (Å³/cell): 86.8
Energy relative to the lowest polymorph listed for this composition (meV/atom): 0
Density of states at the Fermi level (states/eV per atom): 0.297
Total energy (eV/atom): -6.17



# 4
Entry from Alexandria via LeMat-Bulk: an optimized crystal structure of SiMo (PBE).

The structure in POSCAR format:
```
SiMo
1.0
2.9927 0.0000 0.0000
0.0000 4.6241 0.0000
0.0000 0.0000 4.2334
Si Mo
2 2
Direct
0.2500 0.2500 0.0803
0.7500 0.7500 0.9197
0.2500 0.7500 0.4109
0.7500 0.2500 0.5891
```

Summary:
Calculated volume (Å³/cell): 58.6
Density of states at the Fermi level (states/eV per atom): 0.519
Total energy (eV/atom): -8.22



# 5
Entry from Alexandria via LeMat-Bulk: an optimized crystal structure of Si3Mo (PBE).

The structure in POSCAR format:
```
Si3Mo
1.0
2.8159 0.0000 0.0000
0.0000 2.8159 0.0000
0.0000 0.0000 7.3177
Si Mo
3 1
Direct
0.0000 0.0000 0.0000
0.5000 0.5000 0.2599
0.5000 0.5000 0.7401
0.0000 0.0000 0.5000
```

Summary:
Calculated volume (Å³/cell): 58.0
Energy relative to the lowest polymorph listed for this composition (meV/atom): 412
Density of states at the Fermi level (states/eV per atom): 0.943
Total energy (eV/atom): -6.50



# 6
Entry from Alexandria via LeMat-Bulk: an optimized crystal structure of Si2Mo (PBE).

The structure in POSCAR format:
```
Si2Mo
1.0
1.6121 -6.1885 0.0000
1.6121 6.1885 0.0000
0.0000 0.0000 4.1506
Si Mo
4 2
Direct
0.0646 0.9354 0.7500
0.2647 0.7353 0.2500
0.7353 0.2647 0.7500
0.9354 0.0646 0.2500
0.3991 0.6009 0.7500
0.6009 0.3991 0.2500
```

Summary:
Calculated volume (Å³/cell): 82.8
Density of states at the Fermi level (states/eV per atom): 0.452
Total energy (eV/atom): -7.47



# 7
Entry from Alexandria via LeMat-Bulk: an optimized crystal structure of SiMo (PBE).

The structure in POSCAR format:
```
SiMo
1.0
-1.6328 2.0797 4.2027
1.6328 -2.0797 4.2027
1.6328 2.0797 -4.2027
Si Mo
2 2
Direct
0.3692 0.1192 0.2500
0.6308 0.8808 0.7500
0.1291 0.3791 0.7500
0.8709 0.6209 0.2500
```

Summary:
Calculated volume (Å³/cell): 57.1
Density of states at the Fermi level (states/eV per atom): 0.757
Total energy (eV/atom): -8.25



# 8
Entry from Alexandria via LeMat-Bulk: an optimized crystal structure of Si2Mo (PBE).

The structure in POSCAR format:
```
Si2Mo
1.0
4.9524 0.0000 0.0000
-2.4762 4.2889 0.0000
0.0000 0.0000 7.6111
Si Mo
8 4
Direct
0.0000 0.0000 0.0000
0.0000 0.0000 0.5000
0.1732 0.3464 0.2500
0.1732 0.8268 0.2500
0.3464 0.1732 0.7500
0.6536 0.8268 0.2500
0.8268 0.1732 0.7500
0.8268 0.6536 0.7500
0.3333 0.6667 0.5596
0.3333 0.6667 0.9404
0.6667 0.3333 0.0596
0.6667 0.3333 0.4404
```

Summary:
Calculated volume (Å³/cell): 161.7
Density of states at the Fermi level (states/eV per atom): 0.530
Total energy (eV/atom): -6.92



# 9
Entry from Alexandria via LeMat-Bulk: an optimized crystal structure of SiMo3 (PBE).

The structure in POSCAR format:
```
SiMo3
1.0
2.7467 0.0000 0.0000
0.0000 4.3600 0.0000
-1.3609 0.0000 5.0475
Si Mo
1 3
Direct
0.0000 0.0000 0.0000
0.0000 0.0000 0.5000
0.4817 0.5000 0.7578
0.5183 0.5000 0.2422
```

Summary:
Calculated volume (Å³/cell): 60.4
Energy relative to the lowest polymorph listed for this composition (meV/atom): 282
Density of states at the Fermi level (states/eV per atom): 0.590
Total energy (eV/atom): -9.52



# 10
Entry from Alexandria via LeMat-Bulk: an optimized crystal structure of SiMo (PBE).

The structure in POSCAR format:
```
SiMo
1.0
0.0000 2.5028 2.5028
2.5028 0.0000 2.5028
2.5028 2.5028 0.0000
Si Mo
1 1
Direct
0.0000 0.0000 0.0000
0.5000 0.5000 0.5000
```

Summary:
Calculated volume (Å³/cell): 31.4
Density of states at the Fermi level (states/eV per atom): 1.281
Total energy (eV/atom): -7.91



# 11
Entry from Alexandria via LeMat-Bulk: an optimized crystal structure of Si2Mo3 (PBE).

The structure in POSCAR format:
```
Si2Mo3
1.0
0.0000 4.4259 6.8546
2.4277 0.0000 6.8546
2.4277 4.4259 0.0000
Si Mo
4 6
Direct
0.0706 0.0706 0.6794
0.3206 0.3206 0.9294
0.6794 0.6794 0.0706
0.9294 0.9294 0.3206
0.1250 0.1250 0.1250
0.2618 0.2618 0.4882
0.4882 0.4882 0.2618
0.5118 0.5118 0.7382
0.7382 0.7382 0.5118
0.8750 0.8750 0.8750
```

Summary:
Calculated volume (Å³/cell): 147.3
Energy relative to the lowest polymorph listed for this composition (meV/atom): 114
Density of states at the Fermi level (states/eV per atom): 0.501
Total energy (eV/atom): -8.83



# 12
Entry from Alexandria via LeMat-Bulk: an optimized crystal structure of Si23Mo3 (PBE).

The structure in POSCAR format:
```
Si23Mo3
1.0
10.1464 0.0000 0.0000
0.0000 10.1464 0.0000
0.0000 0.0000 10.1464
Si Mo
46 6
Direct
0.0000 0.1164 0.3102
0.0000 0.1164 0.6898
0.0000 0.2500 0.5000
0.0000 0.7500 0.5000
0.0000 0.8836 0.3102
0.0000 0.8836 0.6898
0.1164 0.3102 0.0000
0.1164 0.6898 0.0000
0.1841 0.1841 0.1841
0.1841 0.1841 0.8159
0.1841 0.8159 0.1841
0.1841 0.8159 0.8159
0.1898 0.3836 0.5000
0.1898 0.6164 0.5000
0.2500 0.5000 0.0000
0.3102 0.0000 0.1164
0.3102 0.0000 0.8836
0.3159 0.3159 0.3159
0.3159 0.3159 0.6841
0.3159 0.6841 0.3159
0.3159 0.6841 0.6841
0.3836 0.5000 0.1898
0.3836 0.5000 0.8102
0.5000 0.0000 0.2500
0.5000 0.0000 0.7500
0.5000 0.1898 0.3836
0.5000 0.1898 0.6164
0.5000 0.8102 0.3836
0.5000 0.8102 0.6164
0.6164 0.5000 0.1898
0.6164 0.5000 0.8102
0.6841 0.3159 0.3159
0.6841 0.3159 0.6841
0.6841 0.6841 0.3159
0.6841 0.6841 0.6841
0.6898 0.0000 0.1164
0.6898 0.0000 0.8836
0.7500 0.5000 0.0000
0.8102 0.3836 0.5000
0.8102 0.6164 0.5000
0.8159 0.1841 0.1841
0.8159 0.1841 0.8159
0.8159 0.8159 0.1841
0.8159 0.8159 0.8159
0.8836 0.3102 0.0000
0.8836 0.6898 0.0000
0.0000 0.5000 0.2500
0.0000 0.5000 0.7500
0.2500 0.0000 0.5000
0.5000 0.2500 0.0000
0.5000 0.7500 0.0000
0.7500 0.0000 0.5000
```

Summary:
Calculated volume (Å³/cell): 1044.6
Density of states at the Fermi level (states/eV per atom): 0.274
Total energy (eV/atom): -5.49



Formation energy from raw total energies list, top to bottom, in kcal/mol of atoms: -6.54 -0.89 3.47 -2.09 6.25 -5.55 -2.74 6.99 -1.00 5.05 -3.74 12.82
Spin magnetization list, top to bottom, in μB per formula unit: 0.000 0.000 0.000 0.000 0.000 0.000 0.000 0.000 0.000 0.003 0.000 15.897